10
Lattice="-2.8066 -1.0447 4.6476 6.0422 -0.6472 3.5033 -3.1233 6.2621 -0.4785" Properties=species:S:1:pos:R:3 comment="YSc3Ni (PBE, optimized geometry)" polymorph_energy_mev_per_atom=0 e_tot_ev_per_atom=-6.3632 vol_a3_per_fu=117.8 delta_e_f_ev_per_atom=-0.1152 pbc="T T T"
Ni 0.0000 0.0000 0.0000
Ni -1.4033 -0.5223 2.3238
Sc -0.7956 3.9393 5.3381
Sc 2.2539 3.2207 3.7294
Sc -3.5820 4.2378 3.7225
Sc 3.6944 0.3325 3.9500
Sc 0.9079 0.6310 2.3344
Sc -2.1416 1.3496 3.9431
Y 0.8821 0.8727 5.6618
Y -0.7699 3.6977 2.0107